Here is crystalline NaSe2Cl2 at its relaxed geometry from Alexandria via LeMat-Bulk. Energies are from PBE.

```
NaSe2Cl2
1.0
-1.863 1.863 9.873
1.863 -1.863 9.873
1.863 1.863 -9.873
Na Se Cl
1 2 2
direct
0.000 0.000 0.000 Na
0.250 0.750 0.500 Se
0.750 0.250 0.500 Se
0.431 0.431 0.000 Cl
0.569 0.569 0.000 Cl
```

D(E_F)   2.71 states/eV/f.u.
E_tot   -0.1059 hartree per atom
SG   I4/mmm (139)
ΔE_f (raw)   -0.4854 eV/atom